VASP calculation (PBE-GGA) on an optimized crystal structure of Pu4HgRh2.

Summary:
* uncorrected energy: -10.40 eV per atom
* density: 15.27 g cm⁻³
* space group: I4/mmm, No. 139

Unit cell a=5.8867 b=5.8867 c=5.8867 alpha=103.15 beta=103.15 gamma=123.03
With the nearest neighbours (Å) after each atom.
Fractional coordinates of all 7 atoms:
Rh1 0.7500 0.2500 0.5000  2 Rh 2.81, 8 Pu 2.99-3.00
Rh2 0.2500 0.7500 0.5000  2 Rh 2.81, 8 Pu 2.99-3.00
Pu1 0.3029 0.6961 0.0000  4 Pu 2.88-3.02, 4 Rh 2.99-3.00, 1 Hg 3.14
Pu2 0.6961 0.3029 0.0000  4 Pu 2.88-3.02, 4 Rh 2.99-3.00, 1 Hg 3.14
Pu3 0.3039 0.3039 0.6068  4 Pu 2.88-3.02, 4 Rh 2.99-3.00, 1 Hg 3.14
Pu4 0.6971 0.6971 0.3932  4 Pu 2.88-3.02, 4 Rh 2.99-3.00, 1 Hg 3.14
Hg1 0.0000 0.0000 0.0000  12 Pu 3.14-3.47